*P*
PBE-GGA LiY2Br, optimized geometry; M_tot = 1.277 μB per formula unit; calculated density = 3.82 g/cm³
1.0
-4.1484 4.1484 3.3396
4.1484 -4.1484 3.3396
4.1484 4.1484 -3.3396
Li Y Br
2 4 2
Direct
0.0000 0.0000 0.0000
0.7500 0.2500 0.5000
0.1628 0.1250 0.5378
0.3750 0.8372 0.9622
0.5872 0.6250 0.4622
0.8750 0.4128 0.0378
0.2500 0.7500 0.5000
0.5000 0.5000 0.0000

*Q*
PBE-GGA LiY2Br, optimized geometry; M_tot = 0.001 μB per formula unit; calculated density = 4.15 g/cm³
1.0
-1.7374 2.7527 5.5296
1.7374 -2.7527 5.5296
1.7374 2.7527 -5.5296
Li Y Br
1 2 1
Direct
0.0000 0.0000 0.0000
0.2924 0.7924 0.5000
0.5645 0.5645 0.0000
0.7936 0.2936 0.5000

Most stable structure among those shown: *Q*. Next: +15.9 kJ/mol of atoms.